1.
The following is a PBE calculation of crystalline Ag2GeRhO at its relaxed geometry, from Alexandria.

## Properties
Magnetic moment in μB per cell: 0.0
DOS at the Fermi energy in states/eV/cell: 4.0
Total energy in eV/atom: -4.26
ΔE_f (raw) in eV/atom: 0.268

The structure in CIF format:
```
data_Ag2GeRhO
_cell_length_a 4.557
_cell_length_b 4.557
_cell_length_c 4.030
_cell_angle_alpha 90.00
_cell_angle_beta 90.00
_cell_angle_gamma 90.00
_space_group_name_H-M_alt 'P 4/m m m'
_space_group_IT_number 123
_space_group_name_Hall '-P 4 2'
loop_
_atom_site_label
_atom_site_type_symbol
_atom_site_fract_x
_atom_site_fract_y
_atom_site_fract_z
_atom_site_occupancy
Ag1 Ag 0.000 0.500 0.000 1
Ge1 Ge 0.000 0.000 0.500 1
Rh1 Rh 0.500 0.500 0.500 1
O1 O 0.500 0.500 0.000 1
```

***

2.
The following is a PBE calculation of crystalline AgGeSbO6 at its relaxed geometry, from Alexandria.

## Properties
Magnetic moment in μB per cell: 0.0
DOS at the Fermi energy in states/eV/cell: 13.2
Total energy in eV/atom: -5.55
ΔE_f (raw) in eV/atom: -0.961

The structure in CIF format:
```
data_AgGeSbO6
_cell_length_a 5.2024
_cell_length_b 5.2024
_cell_length_c 9.1872
_cell_angle_alpha 90.00
_cell_angle_beta 90.00
_cell_angle_gamma 120.00
_space_group_name_H-M_alt 'P -3 1 c'
_space_group_IT_number 163
_space_group_name_Hall '-P 3 2c'
loop_
_atom_site_label
_atom_site_type_symbol
_atom_site_fract_x
_atom_site_fract_y
_atom_site_fract_z
_atom_site_occupancy
Ag1 Ag 0.0000 0.0000 0.0000 1
Ge1 Ge 0.3333 0.6667 0.2500 1
Sb1 Sb 0.3333 0.6667 0.7500 1
O1 O 0.0126 0.3693 0.1365 1
```

***

3.
The following is a PBE calculation of crystalline Sc2Ag2GeO6 at its relaxed geometry, from Alexandria.

## Properties
Magnetic moment in μB per cell: 0.0
DOS at the Fermi energy in states/eV/cell: 0.0
Total energy in eV/atom: -6.83
ΔE_f (raw) in eV/atom: -2.032

The structure in CIF format:
```
data_Sc2Ag2GeO6
_cell_length_a 5.403
_cell_length_b 9.463
_cell_length_c 6.412
_cell_angle_alpha 90.00
_cell_angle_beta 101.29
_cell_angle_gamma 90.00
_space_group_name_H-M_alt 'C 1 2/m 1'
_space_group_IT_number 12
_space_group_name_Hall '-C 2y'
loop_
_atom_site_label
_atom_site_type_symbol
_atom_site_fract_x
_atom_site_fract_y
_atom_site_fract_z
_atom_site_occupancy
Sc1 Sc 0.000 0.162 0.000 1
Ag1 Ag 0.000 0.340 0.500 1
Ge1 Ge 0.000 0.500 0.000 1
O1 O 0.111 0.343 0.835 1
O2 O 0.163 0.000 0.851 1
```

***

4.
The following is a PBE calculation of crystalline Sc3Ag3GeO8 at its relaxed geometry, from Alexandria.

## Properties
Magnetic moment in μB per cell: 0.0
Total energy in eV/atom: -6.81
ΔE_f (raw) in eV/atom: -2.019

The structure in CIF format:
```
data_Sc3Ag3GeO8
_cell_length_a 10.913
_cell_length_b 6.302
_cell_length_c 6.879
_cell_angle_alpha 90.00
_cell_angle_beta 122.03
_cell_angle_gamma 90.00
_space_group_name_H-M_alt 'C 1 2/m 1'
_space_group_IT_number 12
_space_group_name_Hall '-C 2y'
loop_
_atom_site_label
_atom_site_type_symbol
_atom_site_fract_x
_atom_site_fract_y
_atom_site_fract_z
_atom_site_occupancy
Sc1 Sc 0.000 0.000 0.000 1
Sc2 Sc 0.250 0.250 0.000 1
Ag1 Ag 0.000 0.500 0.500 1
Ag2 Ag 0.250 0.250 0.500 1
Ge1 Ge 0.000 0.500 0.000 1
O1 O 0.016 0.272 0.821 1
O2 O 0.212 0.500 0.178 1
O3 O 0.223 0.000 0.170 1
```

***

5.
The following is a PBE calculation of crystalline AgGeSeO6 at its relaxed geometry, from Alexandria.

## Properties
Magnetic moment in μB per cell: 0.0
DOS at the Fermi energy in states/eV/cell: 9.3
Total energy in eV/atom: -5.25
ΔE_f (raw) in eV/atom: -0.727

The structure in CIF format:
```
data_AgGeSeO6
_cell_length_a 4.9706
_cell_length_b 4.9706
_cell_length_c 9.7723
_cell_angle_alpha 90.00
_cell_angle_beta 90.00
_cell_angle_gamma 120.00
_space_group_name_H-M_alt 'P -3 1 c'
_space_group_IT_number 163
_space_group_name_Hall '-P 3 2c'
loop_
_atom_site_label
_atom_site_type_symbol
_atom_site_fract_x
_atom_site_fract_y
_atom_site_fract_z
_atom_site_occupancy
Ag1 Ag 0.0000 0.0000 0.0000 1
Ge1 Ge 0.3333 0.6667 0.2500 1
Se1 Se 0.3333 0.6667 0.7500 1
O1 O 0.0120 0.3802 0.6441 1
```

***

6.
The following is a PBE calculation of crystalline AgGeSeO5 at its relaxed geometry, from Alexandria.

## Properties
Magnetic moment in μB per cell: 0.0
DOS at the Fermi energy in states/eV/cell: 8.4
Total energy in eV/atom: -5.15
ΔE_f (raw) in eV/atom: -0.678

The structure in CIF format:
```
data_AgGeSeO5
_cell_length_a 6.997
_cell_length_b 9.220
_cell_length_c 7.035
_cell_angle_alpha 90.00
_cell_angle_beta 114.83
_cell_angle_gamma 90.00
_space_group_name_H-M_alt 'C 1 2/c 1'
_space_group_IT_number 15
_space_group_name_Hall '-C 2yc'
loop_
_atom_site_label
_atom_site_type_symbol
_atom_site_fract_x
_atom_site_fract_y
_atom_site_fract_z
_atom_site_occupancy
Ag1 Ag 0.000 0.174 0.250 1
Ge1 Ge 0.000 0.500 0.000 1
Se1 Se 0.000 0.187 0.750 1
O1 O 0.000 0.435 0.250 1
O2 O 0.112 0.306 0.613 1
O3 O 0.196 0.064 0.915 1
```

***

7.
The following is a PBE calculation of crystalline SmAgGeO4 at its relaxed geometry, from Alexandria.

## Properties
Magnetic moment in μB per cell: 0.0
Total energy in eV/atom: -6.47
ΔE_f (raw) in eV/atom: -1.894

The structure in CIF format:
```
data_SmAgGeO4
_cell_length_a 6.071
_cell_length_b 7.376
_cell_length_c 8.795
_cell_angle_alpha 90.00
_cell_angle_beta 90.00
_cell_angle_gamma 90.00
_space_group_name_H-M_alt 'I m m a'
_space_group_IT_number 74
_space_group_name_Hall '-I 2b 2'
loop_
_atom_site_label
_atom_site_type_symbol
_atom_site_fract_x
_atom_site_fract_y
_atom_site_fract_z
_atom_site_occupancy
Sm1 Sm 0.000 0.000 0.000 1
Ag1 Ag 0.250 0.250 0.250 1
Ge1 Ge 0.000 0.250 0.629 1
O1 O 0.000 0.049 0.737 1
O2 O 0.246 0.250 0.507 1
```

***

8.
The following is a PBE calculation of crystalline Sm2AgGeO6 at its relaxed geometry, from Alexandria.

## Properties
Magnetic moment in μB per cell: 0.0
DOS at the Fermi energy in states/eV/cell: 3.2
Total energy in eV/atom: -6.71
ΔE_f (raw) in eV/atom: -2.043

The structure in CIF format:
```
data_Sm2AgGeO6
_cell_length_a 5.415
_cell_length_b 5.415
_cell_length_c 4.882
_cell_angle_alpha 90.00
_cell_angle_beta 90.00
_cell_angle_gamma 90.00
_space_group_name_H-M_alt 'P 4 m m'
_space_group_IT_number 99
_space_group_name_Hall 'P 4 -2'
loop_
_atom_site_label
_atom_site_type_symbol
_atom_site_fract_x
_atom_site_fract_y
_atom_site_fract_z
_atom_site_occupancy
Sm1 Sm 0.000 0.500 0.000 1
Ag1 Ag 0.000 0.000 0.565 1
Ge1 Ge 0.500 0.500 0.593 1
O1 O 0.000 0.000 0.115 1
O2 O 0.272 0.272 0.727 1
O3 O 0.500 0.500 0.228 1
```